Entry from Alexandria via LeMat-Bulk: a relaxed structure of Li2Hf2H (PBE).

CIF file:
```
data_Li2Hf2H
_symmetry_space_group_name_H-M 'I 4/m m m'
_symmetry_Int_Tables_number 139
_symmetry_space_group_name_Hall '-I 4 2'
_cell_length_a 3.797
_cell_length_b 3.797
_cell_length_c 17.170
_cell_angle_alpha 90.00
_cell_angle_beta 90.00
_cell_angle_gamma 90.00
loop_
_atom_site_label
_atom_site_type_symbol
_atom_site_fract_x
_atom_site_fract_y
_atom_site_fract_z
Li1 Li 0.000 0.000 0.087
Hf1 Hf 0.000 0.500 0.250
H1 H 0.000 0.000 0.500
```

Values from the calculation:
- E above lowest polymorph (eV per formula unit) = 1.89
- DOS at the Fermi energy (states/eV/f.u.) = 2.29
- total magnetization (μB per formula unit) = 0.00